[1]
Compound: Y2AlAs2
Source: Alexandria via LeMat-Bulk
Functional: PBE-GGA
Structure: relaxed

## Properties
Its formation energy is -952.5 meV/atom. The symmetry is P4/mbm, No. 127. Its crystal system is tetragonal.

Unit cell a=7.6008 b=7.6008 c=3.9027 alpha=90.00 beta=90.00 gamma=90.00
Fractional coordinates of all 10 atoms:
1 Y 0.1587 0.3413 0.0000
2 Y 0.3413 0.8413 0.0000
3 Y 0.6587 0.1587 0.0000
4 Y 0.8413 0.6587 0.0000
5 Al 0.0000 0.0000 0.5000
6 Al 0.5000 0.5000 0.5000
7 As 0.1497 0.6497 0.5000
8 As 0.3503 0.1497 0.5000
9 As 0.6497 0.8503 0.5000
10 As 0.8503 0.3503 0.5000

---

[2]
Compound: YAlAs
Source: Alexandria via LeMat-Bulk
Functional: PBE-GGA
Structure: relaxed

## Properties
Its formation energy is -520.1 meV/atom. The symmetry is I4mm, No. 107. Its crystal system is tetragonal.

Unit cell a=5.6531 b=5.6531 c=5.6531 alpha=143.45 beta=143.45 gamma=52.65
Fractional coordinates of all 3 atoms:
1 Y 0.0000 0.0000 0.0000
2 Al 0.7010 0.7010 0.0000
3 As 0.3080 0.3080 0.0000

---

[3]
Compound: YAlZnAs2
Source: Alexandria via LeMat-Bulk
Functional: PBE-GGA
Structure: relaxed

## Properties
Its formation energy is 481.1 meV/atom. The symmetry is P4/mmm, No. 123. Its crystal system is tetragonal.

Unit cell a=5.4016 b=5.4016 c=5.6450 alpha=90.00 beta=90.00 gamma=90.00
Fractional coordinates of all 5 atoms:
1 Y 0.0000 0.0000 0.0000
2 Al 0.5000 0.5000 0.5000
3 Zn 0.0000 0.0000 0.5000
4 As 0.0000 0.5000 0.0000
5 As 0.5000 0.0000 0.0000

---

[4]
Compound: AlZn2As
Source: Alexandria via LeMat-Bulk
Functional: PBE-GGA
Structure: relaxed

## Properties
Its formation energy is 125.5 meV/atom. The value obtained for the offset from the most stable computed form is 0.066 eV per atom. The symmetry is R-3m, No. 166. Its crystal system is trigonal.

Unit cell a=9.1468 b=9.1468 c=9.1468 alpha=18.59 beta=18.59 gamma=18.59
Fractional coordinates of all 4 atoms:
1 Al 0.0000 0.0000 0.0000
2 Zn 0.2516 0.2516 0.2516
3 Zn 0.7484 0.7484 0.7484
4 As 0.5000 0.5000 0.5000

---

[5]
Compound: AlZn2As
Source: Alexandria via LeMat-Bulk
Functional: PBE-GGA
Structure: relaxed

## Properties
Its formation energy is 110.6 meV/atom. The value obtained for the offset from the most stable computed form is 0.051 eV per atom. The symmetry is P4/mmm, No. 123. Its crystal system is tetragonal.

Unit cell a=3.7333 b=3.7333 c=5.0368 alpha=90.00 beta=90.00 gamma=90.00
Fractional coordinates of all 4 atoms:
1 Al 0.0000 0.0000 0.0000
2 Zn 0.0000 0.5000 0.5000
3 Zn 0.5000 0.0000 0.5000
4 As 0.5000 0.5000 0.0000

---

[6]
Compound: AlZn2As
Source: Alexandria via LeMat-Bulk
Functional: PBE-GGA
Structure: relaxed

## Properties
Its formation energy is 135.7 meV/atom. The value obtained for the offset from the most stable computed form is 0.076 eV per atom. The symmetry is Pmmm, No. 47. Its crystal system is orthorhombic.

Unit cell a=2.9264 b=3.9367 c=5.9201 alpha=90.00 beta=90.00 gamma=90.00
Fractional coordinates of all 4 atoms:
1 Al 0.0000 0.0000 0.0000
2 Zn 0.5000 0.5000 0.2344
3 Zn 0.5000 0.5000 0.7656
4 As 0.0000 0.0000 0.5000

---

[7]
Compound: Al2ZnAs
Source: Alexandria via LeMat-Bulk
Functional: PBE-GGA
Structure: relaxed

## Properties
Its formation energy is 62.7 meV/atom. The value obtained for the offset from the most stable computed form is 0.056 eV per atom. The symmetry is P4mm, No. 99. Its crystal system is tetragonal.

Unit cell a=3.5799 b=3.5799 c=5.7033 alpha=90.00 beta=90.00 gamma=90.00
Fractional coordinates of all 4 atoms:
1 Al 0.0000 0.0000 0.0000
2 Al 0.5000 0.5000 0.3340
3 Zn 0.5000 0.5000 0.8406
4 As 0.0000 0.0000 0.4527

---

[8]
Compound: Al2ZnAs
Source: Alexandria via LeMat-Bulk
Functional: PBE-GGA
Structure: relaxed

## Properties
Its formation energy is 123.2 meV/atom. The value obtained for the offset from the most stable computed form is 0.117 eV per atom. The symmetry is P4/mmm, No. 123. Its crystal system is tetragonal.

Unit cell a=3.0705 b=3.0705 c=7.2905 alpha=90.00 beta=90.00 gamma=90.00
Fractional coordinates of all 4 atoms:
1 Al 0.0000 0.0000 0.2495
2 Al 0.0000 0.0000 0.7505
3 Zn 0.5000 0.5000 0.0000
4 As 0.5000 0.5000 0.5000